Crystalline YTl2AgPd at its relaxed geometry, computed with PBE.

The space group is P4/mmm (No. 123) and the conventional cell measures 5.2585, 5.2585 and 5.2839 Å, with angles of 90.00, 90.00 and 90.00 degrees. Symmetry generates all atoms from Y at (0.0000, 0.0000, 0.0000), Tl at (0.0000, 0.5000, 0.5000), Ag at (0.5000, 0.5000, 0.0000) and Pd at (0.0000, 0.0000, 0.5000).

Its total energy is -0.1398 hartree per atom.

Crystalline ZrTl2AgPd at its relaxed geometry, computed with PBE.

The space group is P4/mmm (No. 123) and the conventional cell measures 5.0833, 5.0833 and 5.0268 Å, with angles of 90.00, 90.00 and 90.00 degrees. Symmetry generates all atoms from Zr at (0.0000, 0.0000, 0.0000), Tl at (0.0000, 0.5000, 0.5000), Ag at (0.5000, 0.5000, 0.0000) and Pd at (0.5000, 0.5000, 0.5000).

Its total energy is -0.1363 hartree per atom.

Crystalline TmAgPd14 at its relaxed geometry, computed with PBE.

The space group is P4/mmm (No. 123) and the conventional cell measures 5.6439, 5.6439 and 8.0361 Å, with angles of 90.00, 90.00 and 90.00 degrees. Symmetry generates all atoms from Tm at (0.0000, 0.0000, 0.0000), Ag at (0.5000, 0.5000, 0.0000), Pd at (0.0000, 0.0000, 0.5000), Pd at (0.0000, 0.5000, 0.0000), Pd at (0.0000, 0.5000, 0.5000), Pd at (0.2504, 0.2504, 0.2545) and Pd at (0.5000, 0.5000, 0.5000).

Its total energy is -0.1917 hartree per atom.

Crystalline Tm2AgPd at its relaxed geometry, computed with PBE.

The space group is R-3m (No. 166, hexagonal axes) and the conventional cell measures 4.0363, 4.0363 and 20.9902 Å, with angles of 90.00, 90.00 and 120.00 degrees. Symmetry generates all atoms from Tm at (0.0000, 0.0000, 0.2421), Ag at (0.0000, 0.0000, 0.0000) and Pd at (0.0000, 0.0000, 0.5000).

Its total energy is -0.1733 hartree per atom. The energy above the most stable polymorph in this dataset comes out at 171.4 meV per atom.

| no. | ρ (kg/m³) | density of states at the Fermi level (states/eV/f.u.) | ΔE_f (eV/atom) |
| --- | --- | --- | --- |
| 1 | 8092 | 2.897 | 0.043 |
| 2 | 9131 | 2.901 | 0.555 |
| 3 | 11461 | 29.531 | -0.215 |
| 4 | 9288 | 1.141 | -0.469 |